1.
Density functional theory data (meta-GGA SCAN) for a PBEsol-optimized structure of BeCoTc.

abc: 2.6186 2.6186 9.0842
angles: 90.00 90.00 90.00
With the nearest neighbours (Å) after each atom.
Space group I4mm (No. 107)
Symmetry-distinct sites (fractional):
Be  0.0000  0.0000  0.0000 x2  4 Co 2.22, 4 Tc 2.47
Co  0.0000  0.0000  0.3654 x2  4 Be 2.22
Tc  0.0000  0.0000  0.6806 x2  4 Be 2.47, 4 Co 2.50, 4 Tc 2.62

Results
* Fermi-level density of states: 3.37 states/eV per cell
* calculated total energy: -19.05 eV per atom
* calculated formation energy: -42 kJ/mol of formula units
* E above lowest polymorph: 0.084 eV per atom

---

2.
Density functional theory data (meta-GGA SCAN) for a PBEsol-optimized structure of BeCoTc.

abc: 4.3948 4.5678 6.1306
angles: 90.00 90.00 90.00
With the nearest neighbours (Å) after each atom.
Space group Imma (No. 74)
Symmetry-distinct sites (fractional):
Be  0.2500  0.2500  0.2500 x4  2 Be 2.20, 4 Co 2.20
Co  0.0000  0.0000  0.0000 x4  4 Be 2.20, 2 Co 2.28
Tc  0.0000  0.2500  0.6225 x4  6 Be 2.53-2.65, 6 Co 2.58-2.59, 4 Tc 2.70-2.73

Results
* Fermi-level density of states: 9.29 states/eV per cell
* calculated total energy: -19.14 eV per atom
* calculated formation energy: -67 kJ/mol of formula units
* E above lowest polymorph: 0.000 eV per atom

---

3.
Density functional theory data (meta-GGA SCAN) for a PBEsol-optimized structure of Be2CoTe.

abc: 3.5794 3.5794 17.6023
angles: 90.00 90.00 120.00
With the nearest neighbours (Å) after each atom.
Space group R3m (No. 160, hexagonal axes)
Symmetry-distinct sites (fractional):
Be  0.0000  0.0000  0.0000 x3  3 Be 2.10, 3 Co 2.28
Be  0.0000  0.0000  0.3136 x3  3 Be 2.10, 3 Co 2.15
Co  0.0000  0.0000  0.6126 x3  6 Be 2.15-2.28
Te  0.0000  0.0000  0.8592 x3  1 Be 2.48, 3 Co 2.57

Results
* Fermi-level density of states: 3.52 states/eV per cell
* calculated total energy: -15.67 eV per atom

---

4.
Density functional theory data (meta-GGA SCAN) for a PBEsol-optimized structure of BeCo2Te.

abc: 3.5126 3.5183 7.6834
angles: 90.00 90.00 90.00
With the nearest neighbours (Å) after each atom.
Space group Imm2 (No. 44)
Symmetry-distinct sites (fractional):
Be  0.0000  0.0000  0.0000 x2  8 Co 2.49-2.61, 4 Te 2.60
Co  0.0000  0.0000  0.4994 x2  4 Be 2.49, 4 Co 2.60, 4 Te 2.60
Co  0.0000  0.5000  0.7490 x2  4 Te 2.49, 4 Be 2.60-2.61, 4 Co 2.60
Te  0.0000  0.5000  0.2497 x2  8 Co 2.49-2.60, 4 Be 2.60

Results
* Fermi-level density of states: 5.45 states/eV per cell
* calculated total energy: -18.76 eV per atom

---

5.
Density functional theory data (meta-GGA SCAN) for a PBEsol-optimized structure of Be2CoTe.

abc: 3.2136 3.2136 4.9200
angles: 90.00 90.00 90.00
With the nearest neighbours (Å) after each atom.
Space group P4mm (No. 99)
Symmetry-distinct sites (fractional):
Be  0.0000  0.0000  0.0000 x1  2 Te 2.44-2.48, 4 Be 2.48, 4 Co 2.54
Be  0.5000  0.5000  0.2006 x1  1 Co 2.13
Co  0.5000  0.5000  0.7676 x1  1 Be 2.13
Te  0.0000  0.0000  0.5043 x1  6 Be 2.44-2.72, 4 Co 2.62

Results
* Fermi-level density of states: 1.96 states/eV per cell
* calculated total energy: -15.37 eV per atom

---

6.
Density functional theory data (meta-GGA SCAN) for a PBEsol-optimized structure of TiBe2Co2.

abc: 6.2266 6.2266 2.5648
angles: 90.00 90.00 90.00
With the nearest neighbours (Å) after each atom.
Space group P4/mbm (No. 127)
Symmetry-distinct sites (fractional):
Ti  0.0000  0.0000  0.0000 x2  4 Be 2.49, 2 Ti 2.56, 8 Co 2.63
Be  0.1187  0.3813  0.0000 x4  1 Be 2.09, 6 Co 2.23-2.25
Co  0.1740  0.6740  0.5000 x4  6 Be 2.23-2.25

Results
* Fermi-level density of states: 5.50 states/eV per cell
* calculated total energy: -12.14 eV per atom
* calculated formation energy: -128 kJ/mol of formula units
* E above lowest polymorph: 0.000 eV per atom

---

7.
Density functional theory data (meta-GGA SCAN) for a PBEsol-optimized structure of TiBe3Co.

abc: 4.1657 4.1657 4.1657
angles: 90.00 90.00 90.00
With the nearest neighbours (Å) after each atom.
Space group Pm-3m (No. 221)
Symmetry-distinct sites (fractional):
Ti  0.0000  0.0000  0.0000 x1  6 Be 2.08
Be  0.0000  0.0000  0.5000 x3  2 Ti 2.08
Co  0.5000  0.5000  0.5000 x1  12 Be 2.95

Results
* Fermi-level density of states: 2.48 states/eV per cell
* calculated total energy: -7.38 eV per atom
* calculated formation energy: 915 kJ/mol of formula units

---

8.
Density functional theory data (meta-GGA SCAN) for a PBEsol-optimized structure of Ti2Be2Co.

abc: 5.9864 5.9864 3.2397
angles: 90.00 90.00 90.00
With the nearest neighbours (Å) after each atom.
Space group P4/mbm (No. 127)
Symmetry-distinct sites (fractional):
Ti  0.1761  0.3239  0.0000 x4  6 Be 2.34-2.44
Be  0.1239  0.6239  0.5000 x4  1 Be 2.10, 2 Ti 2.34
Co  0.0000  0.0000  0.5000 x2  4 Be 2.37

Results
* Fermi-level density of states: 6.43 states/eV per cell
* calculated total energy: -11.81 eV per atom
* calculated formation energy: -94 kJ/mol of formula units

---

9.
Density functional theory data (meta-GGA SCAN) for a PBEsol-optimized structure of TiBe2Co2.

abc: 3.4041 3.4041 9.2689
angles: 90.00 90.00 90.00
With the nearest neighbours (Å) after each atom.
Space group I4/mmm (No. 139)
Symmetry-distinct sites (fractional):
Ti  0.0000  0.0000  0.0000 x2  8 Co 2.64, 8 Be 2.88
Be  0.0000  0.5000  0.2500 x4  4 Co 2.10
Co  0.0000  0.0000  0.3835 x4  4 Be 2.10, 1 Co 2.16

Results
* Fermi-level density of states: 7.06 states/eV per cell
* calculated total energy: -11.85 eV per atom
* calculated formation energy: 7 kJ/mol of formula units
* E above lowest polymorph: 0.281 eV per atom

---

10.
Density functional theory data (meta-GGA SCAN) for a PBEsol-optimized structure of BeTlCo2.

abc: 3.7858 3.7858 13.3334
angles: 90.00 90.00 120.00
With the nearest neighbours (Å) after each atom.
Space group R-3m (No. 166, hexagonal axes)
Symmetry-distinct sites (fractional):
Be  0.0000  0.0000  0.0000 x3  6 Co 2.22
Tl  0.0000  0.0000  0.5000 x3  8 Co 2.61-2.85
Co  0.0000  0.0000  0.3040 x6  3 Be 2.22, 3 Co 2.32

Results
* Fermi-level density of states: 5.82 states/eV per cell
* calculated total energy: -27.48 eV per atom
* calculated formation energy: 133 kJ/mol of formula units
* E above lowest polymorph: 0.000 eV per atom

---

11.
Density functional theory data (meta-GGA SCAN) for a PBEsol-optimized structure of BeTlCo2.

abc: 3.7583 3.7583 16.2992
angles: 90.00 90.00 90.00
With the nearest neighbours (Å) after each atom.
Space group I-42d (No. 122)
Symmetry-distinct sites (fractional):
Be  0.0000  0.0000  0.0000 x4  4 Co 2.31
Tl  0.0000  0.0000  0.5000 x4  4 Co 2.61, 4 Be 2.66
Co  0.1452  0.7500  0.1250 x8  2 Co 2.17, 2 Be 2.31

Results
* Fermi-level density of states: 10.12 states/eV per cell
* calculated total energy: -27.14 eV per atom
* calculated formation energy: 266 kJ/mol of formula units
* E above lowest polymorph: 0.344 eV per atom

---

12.
Density functional theory data (meta-GGA SCAN) for a PBEsol-optimized structure of BeTl2Co.

abc: 3.3191 4.3865 5.2327
angles: 101.89 90.13 112.14
With the nearest neighbours (Å) after each atom.
Space group P-1 (No. 2)
Symmetry-distinct sites (fractional):
Be  0.0000  0.0000  0.0000 x1  6 Tl 2.64-2.73
Tl  0.2489  0.4975  0.7494 x2  3 Be 2.64-2.73, 3 Co 2.66-2.71
Co  0.5000  0.0000  0.5000 x1  6 Tl 2.66-2.71

Results
* Fermi-level density of states: 1.32 states/eV per cell
* calculated total energy: -40.92 eV per atom
* calculated formation energy: 259 kJ/mol of formula units

---

13.
Density functional theory data (meta-GGA SCAN) for a PBEsol-optimized structure of BeTlCo2.

abc: 2.8172 2.8172 6.1262
angles: 90.00 90.00 90.00
With the nearest neighbours (Å) after each atom.
Space group P4/mmm (No. 123)
Symmetry-distinct sites (fractional):
Be  0.0000  0.0000  0.0000 x1  8 Co 2.31
Tl  0.0000  0.0000  0.5000 x1  8 Co 2.74, 4 Tl 2.82, 2 Be 3.06
Co  0.5000  0.5000  0.1920 x2  4 Be 2.31, 1 Co 2.35

Results
* Fermi-level density of states: 2.88 states/eV per cell
* calculated total energy: -27.44 eV per atom
* calculated formation energy: 151 kJ/mol of formula units
* E above lowest polymorph: 0.046 eV per atom

---

14.
Density functional theory data (meta-GGA SCAN) for a PBEsol-optimized structure of BeTl3Co.

abc: 4.9655 4.9655 4.9655
angles: 90.00 90.00 90.00
With the nearest neighbours (Å) after each atom.
Space group Pm-3m (No. 221)
Symmetry-distinct sites (fractional):
Be  0.0000  0.0000  0.0000 x1  12 Tl 3.51
Tl  0.0000  0.5000  0.5000 x3  2 Co 2.48
Co  0.5000  0.5000  0.5000 x1  6 Tl 2.48

Results
* Fermi-level density of states: 2.36 states/eV per cell
* calculated total energy: -47.00 eV per atom
* calculated formation energy: 361 kJ/mol of formula units

---

15.
Density functional theory data (meta-GGA SCAN) for a PBEsol-optimized structure of BeVCo2.

abc: 5.4207 5.4207 5.4207
angles: 90.00 90.00 90.00
With the nearest neighbours (Å) after each atom.
Space group Fm-3m (No. 225)
Symmetry-distinct sites (fractional):
Be  0.0000  0.0000  0.0000 x4  8 Co 2.35
V  0.0000  0.0000  0.5000 x4  8 Co 2.35
Co  0.2500  0.2500  0.2500 x8  4 Be 2.35, 4 V 2.35

Results
* Fermi-level density of states: 7.75 states/eV per cell
* calculated total energy: -14.43 eV per atom
* calculated formation energy: -122 kJ/mol of formula units

---

16.
Density functional theory data (meta-GGA SCAN) for a PBEsol-optimized structure of BeCo2W.

abc: 3.5856 3.5856 6.7666
angles: 90.00 90.00 90.00
With the nearest neighbours (Å) after each atom.
Space group I4/mmm (No. 139)
Symmetry-distinct sites (fractional):
Be  0.0000  0.0000  0.0000 x2  8 Co 2.46, 4 W 2.54
Co  0.0000  0.5000  0.2500 x4  4 W 2.46, 4 Be 2.46, 4 Co 2.54
W  0.0000  0.0000  0.5000 x2  8 Co 2.46, 4 Be 2.54

Results
* Fermi-level density of states: 1.82 states/eV per cell
* calculated total energy: -27.19 eV per atom
* calculated formation energy: -12 kJ/mol of formula units

---

17.
Density functional theory data (meta-GGA SCAN) for a PBEsol-optimized structure of BeCo2W.

abc: 5.2736 6.4382 2.6463
angles: 90.00 90.00 90.00
With the nearest neighbours (Å) after each atom.
Space group Cmmm (No. 65)
Symmetry-distinct sites (fractional):
Be  0.0000  0.0000  0.0000 x2  8 Co 2.47, 2 W 2.64, 2 Be 2.65
Co  0.2500  0.2500  0.5000 x4  4 W 2.47, 4 Be 2.47, 4 Co 2.64-2.65
W  0.0000  0.5000  0.0000 x2  8 Co 2.47, 2 Be 2.64, 2 W 2.65

Results
* Fermi-level density of states: 5.55 states/eV per cell
* calculated total energy: -27.00 eV per atom
* calculated formation energy: 64 kJ/mol of formula units

---

18.
Density functional theory data (meta-GGA SCAN) for a PBEsol-optimized structure of Be2CoW.

abc: 4.8495 7.4345 2.5124
angles: 90.00 105.61 90.00
With the nearest neighbours (Å) after each atom.
Space group C2/m (No. 12)
Symmetry-distinct sites (fractional):
Be  0.2500  0.2500  0.0000 x4  2 Co 2.38, 2 W 2.38, 4 Be 2.42-2.51
Co  0.0000  0.0000  0.5000 x2  4 Be 2.38, 2 W 2.42, 2 Co 2.51
W  0.0000  0.5000  0.5000 x2  4 Be 2.38, 2 Co 2.42, 2 W 2.51

Results
* Fermi-level density of states: 4.77 states/eV per cell
* calculated total energy: -23.72 eV per atom
* calculated formation energy: 81 kJ/mol of formula units
* E above lowest polymorph: 0.122 eV per atom

---

19.
Density functional theory data (meta-GGA SCAN) for a PBEsol-optimized structure of BeCo2W.

abc: 3.4251 3.4251 7.4521
angles: 90.00 90.00 90.00
With the nearest neighbours (Å) after each atom.
Space group I-4m2 (No. 119)
Symmetry-distinct sites (fractional):
Be  0.0000  0.0000  0.0000 x2  8 Co 2.42-2.53, 4 W 2.53
Co  0.0000  0.0000  0.5000 x2  4 Be 2.42, 4 W 2.53, 4 Co 2.53
Co  0.0000  0.5000  0.2500 x2  4 W 2.42, 4 Co 2.53, 4 Be 2.53
W  0.0000  0.5000  0.7500 x2  8 Co 2.42-2.53, 4 Be 2.53

Results
* Fermi-level density of states: 5.14 states/eV per cell
* calculated total energy: -27.05 eV per atom
* calculated formation energy: 44 kJ/mol of formula units

---

20.
Density functional theory data (meta-GGA SCAN) for a PBEsol-optimized structure of Be2CoW.

abc: 3.4910 3.4910 3.4821
angles: 90.00 90.00 90.00
With the nearest neighbours (Å) after each atom.
Space group P4/mmm (No. 123)
Symmetry-distinct sites (fractional):
Be  0.0000  0.5000  0.0000 x2  4 W 2.47, 4 Co 2.47, 4 Be 2.47
Co  0.0000  0.0000  0.5000 x1  8 Be 2.47, 4 W 2.47
W  0.5000  0.5000  0.5000 x1  8 Be 2.47, 4 Co 2.47

Results
* Fermi-level density of states: 2.00 states/eV per cell
* calculated total energy: -23.84 eV per atom
* calculated formation energy: 34 kJ/mol of formula units
* E above lowest polymorph: 0.000 eV per atom